# PuCrI6

A relaxed structure of PuCrI6 (PBE-GGA, Alexandria).

Properties
* E: -38.36 eV per cell
* formation energy from raw total energies: -0.638 eV/atom
* size of the total moment: 1.000 μB/atom

```
8
Lattice="-4.594 -4.410 3.675 1.207 -7.252 0.160 2.562 -3.152 6.773" Properties=species:S:1:pos:R:3 pbc="T T T"
Pu -0.412 -7.407 5.304
Cr 0.000 0.000 0.000
I 2.055 -5.584 5.514
I -1.481 -6.367 7.993
I -1.909 -5.122 3.892
I 0.656 -8.447 2.616
I -2.880 -9.230 5.094
I 1.085 -9.692 6.716
```

---

# PuCrI2

A relaxed structure of PuCrI2 (PBE-GGA, Alexandria).

Properties
* E: -26.57 eV per cell
* formation energy from raw total energies: 0.121 eV/atom
* size of the total moment: 0.508 μB/atom

```
4
Lattice="-2.058 3.276 1.104 -3.617 0.738 -1.600 -6.167 -3.806 7.126" Properties=species:S:1:pos:R:3 pbc="T T T"
I -4.781 -2.139 4.762
I -7.060 2.346 1.867
Cr -5.921 0.103 3.315
Pu 0.000 0.000 0.000
```